Entry 1:
First-principles (PBE-GGA) data for a relaxed LaErNiHg crystal, as listed in Alexandria via LeMat-Bulk.

The structure in POSCAR format:
```
LaErNiHg
1.0
-1.202 4.981 -0.697
-2.908 1.418 -4.035
-4.854 1.619 0.752
La Er Hg Ni
1 1 1 1
Direct
0.000 0.000 0.000
0.500 0.500 0.500
0.750 0.750 0.750
0.250 0.250 0.250
```

Summary:
**Energy relative to the elements**: -302 meV per atom
**Space-group type**: F-43m (216)

---

Entry 2:
First-principles (PBE-GGA) data for a relaxed LaEr2Hg2Pb2 crystal, as listed in Alexandria via LeMat-Bulk.

The structure in POSCAR format:
```
LaEr2Hg2Pb2
1.0
5.107 0.000 0.000
2.553 4.422 0.000
2.553 1.474 8.955
Hg Pb La Er
2 2 1 2
Direct
0.562 0.562 0.315
0.438 0.438 0.685
0.268 0.268 0.197
0.732 0.732 0.803
0.000 0.000 0.000
0.132 0.132 0.603
0.868 0.868 0.397
```

Summary:
**Energy relative to the elements**: -265 meV per atom
**Space-group type**: R-3m (166)

---

Entry 3:
First-principles (PBE-GGA) data for a relaxed LaErHgPd crystal, as listed in Alexandria via LeMat-Bulk.

The structure in POSCAR format:
```
LaErHgPd
1.0
-4.930 -1.608 -0.709
-2.064 -3.597 3.193
-3.716 1.365 3.424
Er La Pd Hg
1 1 1 1
Direct
0.250 0.250 0.250
0.750 0.750 0.750
0.000 0.000 0.000
0.500 0.500 0.500
```

Summary:
**Energy relative to the elements**: -594 meV per atom
**Space-group type**: F-43m (216)

---

Entry 4:
First-principles (PBE-GGA) data for a relaxed La2PmErHg2 crystal, as listed in Alexandria via LeMat-Bulk.

The structure in POSCAR format:
```
La2PmErHg2
1.0
5.179 0.000 0.000
0.000 7.313 0.000
0.000 0.000 9.654
La Hg Pm Er
4 4 2 2
Direct
0.000 0.335 0.171
0.500 0.522 0.942
0.500 0.022 0.058
0.000 0.835 0.829
0.500 0.754 0.633
0.500 0.254 0.367
0.000 0.768 0.162
0.000 0.268 0.838
0.000 0.493 0.556
0.000 0.993 0.444
0.500 0.674 0.326
0.500 0.174 0.674
```

Summary:
**Energy relative to the elements**: -338 meV per atom
**Space-group type**: Pmc2_1 (26)

---

Entry 5:
First-principles (PBE-GGA) data for a relaxed LaPm2ErHg4 crystal, as listed in Alexandria via LeMat-Bulk.

The structure in POSCAR format:
```
LaPm2ErHg4
1.0
5.366 0.000 0.000
2.683 4.647 0.000
2.683 1.549 8.873
Hg La Er Pm
4 1 1 2
Direct
0.128 0.128 0.616
0.620 0.620 0.139
0.872 0.872 0.384
0.380 0.380 0.861
0.000 0.000 0.000
0.500 0.500 0.500
0.249 0.249 0.253
0.751 0.751 0.747
```

Summary:
**Energy relative to the elements**: -470 meV per atom
**Space-group type**: R-3m (166)

---

Entry 6:
First-principles (PBE-GGA) data for a relaxed La2PrErHg2 crystal, as listed in Alexandria via LeMat-Bulk.

The structure in POSCAR format:
```
La2PrErHg2
1.0
5.187 0.000 0.000
0.000 7.395 0.000
0.000 0.000 9.669
Er La Hg Pr
2 4 4 2
Direct
0.500 0.172 0.675
0.500 0.672 0.325
0.500 0.020 0.059
0.000 0.836 0.830
0.500 0.520 0.941
0.000 0.336 0.170
0.500 0.758 0.633
0.000 0.265 0.841
0.500 0.258 0.367
0.000 0.765 0.159
0.000 0.494 0.558
0.000 0.994 0.442
```

Summary:
**Energy relative to the elements**: -334 meV per atom
**Space-group type**: Pmc2_1 (26)

---

Entry 7:
First-principles (PBE-GGA) data for a relaxed LaPrErHg crystal, as listed in Alexandria via LeMat-Bulk.

The structure in POSCAR format:
```
LaPrErHg
1.0
-3.034 -1.848 -1.107
1.660 -3.225 0.834
-3.306 0.448 8.309
Hg Er La Pr
1 1 1 1
Direct
0.000 0.000 0.552
0.500 0.500 0.360
0.000 0.000 0.083
0.500 0.500 0.790
```

Summary:
**Energy relative to the elements**: -230 meV per atom
**Space-group type**: P4mm (99)

---

Entry 8:
First-principles (PBE-GGA) data for a relaxed La2Pr2ErHg5 crystal, as listed in Alexandria via LeMat-Bulk.

The structure in POSCAR format:
```
La2Pr2ErHg5
1.0
-3.330 -1.622 -1.324
-1.188 -6.241 10.635
-6.486 9.403 4.793
Er La Hg Pr
2 4 10 4
Direct
0.000 0.500 0.500
0.000 0.000 0.000
0.000 0.158 0.342
0.000 0.658 0.158
0.000 0.342 0.842
0.000 0.842 0.658
0.500 0.378 0.354
0.500 0.000 0.500
0.500 0.122 0.854
0.500 0.878 0.146
0.500 0.854 0.878
0.500 0.500 0.000
0.500 0.622 0.646
0.500 0.146 0.122
0.500 0.354 0.622
0.500 0.646 0.378
0.000 0.646 0.854
0.000 0.146 0.646
0.000 0.354 0.146
0.000 0.854 0.354
```

Summary:
**Energy relative to the elements**: -334 meV per atom
**Space-group type**: P4/mbm (127)

---

> Which value of energy relative to the elements does entry 2 give?

-265 meV per atom